# 1
Density functional theory data (GGA-PBE) for crystalline Zr2CuAu2 at its relaxed geometry.

Cell: 4.2336 4.2336 12.4688 Å, 90.00 90.00 90.00°
With the nearest neighbours (Å) after each atom.
Space group I4/mmm (No. 139)
Symmetry-distinct sites (fractional):
Zr  0.0000  0.5000  0.2500 (multiplicity 4)  4 Au 2.80, 4 Zr 2.99
Cu  0.0000  0.0000  0.0000 (multiplicity 2)  8 Au 3.26
Au  0.0000  0.0000  0.3971 (multiplicity 4)  1 Au 2.57, 4 Zr 2.80

Properties
As for the formation energy: 0.21 eV per atom. The energy above the most stable polymorph in this dataset comes out at 489 meV per atom.

=====

# 2
Density functional theory data (GGA-PBE) for crystalline PuNbS at its relaxed geometry.

Cell: 3.2126 3.2126 11.3765 Å, 90.00 90.00 90.00°
With the nearest neighbours (Å) after each atom.
Space group I4mm (No. 107)
Symmetry-distinct sites (fractional):
Pu  0.0000  0.0000  0.0000 (multiplicity 2)  5 S 3.17-3.48, 4 Pu 3.21, 5 Nb 3.24-3.38
Nb  0.0000  0.0000  0.2968 (multiplicity 2)  4 S 2.55
S  0.0000  0.0000  0.6941 (multiplicity 2)  4 Nb 2.55

Properties
The energy above the most stable polymorph in this dataset comes out at 0 meV per atom. The calculation puts the formation energy (no corrections) at -1.55 eV per formula unit.

=====

# 3
Density functional theory data (GGA-PBE) for crystalline Cs6Hg5 at its relaxed geometry.

Cell: 9.8637 13.5486 9.8290 Å, 90.00 102.05 90.00°
With the nearest neighbours (Å) after each atom.
Space group C2/m (No. 12)
Symmetry-distinct sites (fractional):
Cs  0.2091  0.1664  0.2114 (multiplicity 8)  4 Hg 3.72-4.05
Cs  0.2162  0.0000  0.6881 (multiplicity 4)  3 Hg 3.66-3.99
Hg  0.0000  0.2611  0.5000 (multiplicity 4)  1 Hg 3.24
Hg  0.0000  0.3884  0.0000 (multiplicity 4)  1 Hg 3.02
Hg  0.0000  0.5000  0.5000 (multiplicity 2)  2 Hg 3.24

Properties
As for the formation energy: -0.17 eV per atom.

=====

# 4
Density functional theory data (GGA-PBE) for crystalline NaSn4Hg at its relaxed geometry.

Cell: 8.8894 8.8894 8.8894 Å, 90.00 90.00 90.00°
With the nearest neighbours (Å) after each atom.
Space group F-43m (No. 216)
Symmetry-distinct sites (fractional):
Na  0.0000  0.0000  0.0000 (multiplicity 4)  12 Sn 3.69, 4 Hg 3.85
Sn  0.1248  0.1248  0.3752 (multiplicity 16)  6 Sn 3.14-3.15
Hg  0.2500  0.2500  0.7500 (multiplicity 4)  12 Sn 3.68, 4 Na 3.85

Properties
As for the formation energy: 0.04 eV per atom. The energy above the most stable polymorph in this dataset comes out at 108 meV per atom.

=====

# 5
Density functional theory data (GGA-PBE) for crystalline CdTc2Hg at its relaxed geometry.

Cell: 2.8468 4.8820 5.1487 Å, 90.00 94.45 90.00°
With the nearest neighbours (Å) after each atom.
Space group P2/m (No. 10)
Symmetry-distinct sites (fractional):
Cd  0.0000  0.0000  0.0000 (multiplicity 1)  4 Hg 2.84-3.04, 2 Cd 2.85, 4 Tc 2.91
Tc  0.3428  0.5000  0.7737 (multiplicity 2)  1 Tc 2.43
Hg  0.5000  0.0000  0.5000 (multiplicity 1)  4 Cd 2.84-3.04, 2 Hg 2.85, 4 Tc 2.87

Properties
As for the formation energy: 0.62 eV per atom. The energy above the most stable polymorph in this dataset comes out at 445 meV per atom.

=====

# 6
Density functional theory data (GGA-PBE) for crystalline NaPbBr4 at its relaxed geometry.

Cell: 15.1385 4.3044 7.4201 Å, 90.00 117.00 90.00°
With the nearest neighbours (Å) after each atom.
Space group C2/m (No. 12)
Symmetry-distinct sites (fractional):
Na  0.0000  0.0000  0.0000 (multiplicity 2)  6 Br 2.98-3.04
Pb  0.0000  0.5000  0.5000 (multiplicity 2)  6 Br 2.84-2.98
Br  0.1162  0.5000  0.2892 (multiplicity 4)  1 Pb 2.84, 2 Na 2.98
Br  0.1247  0.0000  0.7745 (multiplicity 4)  2 Pb 2.98, 1 Na 3.04

Properties
The calculation puts the formation energy (no corrections) at -5.31 eV per formula unit.

=====

# 7
Density functional theory data (GGA-PBE) for crystalline AgSe at its relaxed geometry.

Cell: 13.7356 2.8794 7.8443 Å, 90.00 114.46 90.00°
With the nearest neighbours (Å) after each atom.
Space group Cm (No. 8)
Symmetry-distinct sites (fractional):
Ag  0.0000  0.0000  0.0000 (multiplicity 2)  4 Se 2.72-2.75, 2 Ag 2.88
Ag  0.0561  0.0000  0.4621 (multiplicity 2)  6 Se 2.84-3.00, 4 Ag 2.88-3.17
Ag  0.3955  0.0000  0.5998 (multiplicity 2)  3 Se 2.63-2.71, 2 Ag 2.88
Se  0.1011  0.5000  0.8220 (multiplicity 2)  3 Ag 2.63-2.75, 2 Se 2.88
Se  0.2173  0.5000  0.4006 (multiplicity 2)  4 Ag 2.71-2.84, 2 Se 2.88
Se  0.3922  0.0000  0.1600 (multiplicity 2)  4 Ag 2.72-2.89, 2 Se 2.88

Properties
The calculation puts the formation energy (no corrections) at 0.13 eV per formula unit.

=====

# 8
Density functional theory data (GGA-PBE) for crystalline La2Y2Bi2C at its relaxed geometry.

Cell: 4.8999 4.8999 16.8492 Å, 90.00 90.00 90.00°
With the nearest neighbours (Å) after each atom.
Space group I4/mmm (No. 139)
Symmetry-distinct sites (fractional):
La  0.0000  0.0000  0.1596 (multiplicity 4)  1 C 2.69
Y  0.0000  0.5000  0.0000 (multiplicity 4)  2 C 2.45
Bi  0.0000  0.0000  0.3636 (multiplicity 4)  4 Y 3.36, 5 La 3.44-3.49
C  0.0000  0.0000  0.0000 (multiplicity 2)  4 Y 2.45, 2 La 2.69

Properties
As for the formation energy: -0.77 eV per atom.